Density functional theory data (PBE-GGA) for Ti2Tc3Mo2 after structural relaxation.

Values from the calculation:
Density of states at the Fermi level in states/eV/f.u.: 8.4
Formation energy from the elements in eV per atom: 0.148

The structure in POSCAR format:
```
Ti2Tc3Mo2
1.0
-4.1166 -1.3524 1.3613
0.9679 -2.3462 0.5959
-0.2053 2.2495 9.1905
Tc Ti Mo
3 2 2
direct
0.1456 0.0000 0.7087 Tc
0.0000 0.0000 0.0000 Tc
0.8544 0.0000 0.2913 Tc
0.4302 0.5000 0.1396 Ti
0.5698 0.5000 0.8604 Ti
0.7111 0.5000 0.5778 Mo
0.2889 0.5000 0.4222 Mo
```